## K2HfScS4 (PBE)

Data for a relaxed structure of K2HfScS4.

Volume, Å³ per cell: 182
Energy relative to the elements, uncorrected, meV/atom: -1614
SG: No. 10

Structure (extended XYZ):
```
8
Lattice="3.771 0.000 0.000 0.000 6.560 0.119 0.000 -2.304 7.320" Properties=species:S:1:pos:R:3 pbc="T T T"
S 0.000 4.324 1.523
S 1.885 3.159 5.980
Sc 0.000 0.000 0.000
S 0.000 -0.068 5.916
K 0.000 2.128 3.720
Hf 1.885 3.280 0.060
K 1.885 -1.152 3.660
S 1.885 1.097 1.459
```

=====

## Er8CoOs2 (PBE)

Data for a relaxed structure of Er8CoOs2.

Volume, Å³ per cell: 281
ΔH_f (0 K), eV/atom: -0.14
SG: No. 8

Structure (extended XYZ):
```
11
Lattice="5.693 0.021 -0.980 -1.903 6.659 -2.750 -0.121 -0.070 7.451" Properties=species:S:1:pos:R:3 pbc="T T T"
Er 3.127 0.534 1.756
Er 0.303 2.366 1.508
Os 1.386 4.613 -0.021
Os 2.059 2.073 3.830
Er 3.236 4.238 2.231
Er 4.120 5.270 -1.569
Er 2.662 2.289 -0.905
Er 0.794 4.415 4.702
Er 0.335 6.151 2.070
Er 5.151 1.376 4.334
Co -1.230 6.562 4.543
```

=====

## La2AlTe (PBE)

Data for a relaxed structure of La2AlTe.

Volume, Å³ per cell: 117
Energy relative to the elements, uncorrected, meV/atom: -683
SG: No. 44

Structure (extended XYZ):
```
4
Lattice="-3.893 -1.934 -4.724 -4.492 -4.412 1.255 2.093 5.537 2.486" Properties=species:S:1:pos:R:3 pbc="T T T"
La -3.300 -1.027 1.001
La 0.000 0.000 0.000
Al -2.989 0.220 -1.984
Te -4.196 -3.175 -1.736
```

=====

## ThPaP2 (PBE)

Data for a relaxed structure of ThPaP2.

Volume, Å³ per cell: 95
ΔH_f (0 K), eV/atom: -1.25
SG: No. 160

Structure (extended XYZ):
```
4
Lattice="3.950 0.000 0.000 1.975 3.420 0.000 1.975 1.140 7.067" Properties=species:S:1:pos:R:3 pbc="T T T"
P 1.975 1.140 1.656
Th 3.950 2.280 3.636
Pa 5.924 3.420 6.980
P 1.975 1.140 5.395
```

=====

## Cd2CuSnBi (PBE)

Data for a relaxed structure of Cd2CuSnBi.

Volume, Å³ per cell: 135
ΔH_f (0 K), eV/atom: 0.26
SG: No. 123

Structure (extended XYZ):
```
5
Lattice="4.991 0.000 0.000 0.000 5.431 0.000 0.000 0.000 4.991" Properties=species:S:1:pos:R:3 pbc="T T T"
Sn 2.495 2.715 2.495
Bi 0.000 2.715 0.000
Cu 0.000 0.000 0.000
Cd 0.000 0.000 2.495
Cd 2.495 0.000 0.000
```

=====

## Dy4Y6Er19 (PBE)

Data for a relaxed structure of Dy4Y6Er19.

Volume, Å³ per cell: 947
ΔH_f (0 K), eV/atom: 0.39
SG: No. 197

Structure (extended XYZ):
```
29
Lattice="-3.746 -9.864 1.865 6.986 -0.308 -8.118 4.899 3.681 8.789" Properties=species:S:1:pos:R:3 pbc="T T T"
Y 1.774 -6.851 3.016
Er 2.794 -0.393 7.575
Y 6.365 0.360 -0.480
Er 0.300 -1.608 2.770
Y 1.770 -5.892 -1.737
Er 4.355 -5.170 -0.002
Y 6.012 -3.839 -2.879
Er 9.113 0.192 2.839
Er 3.090 0.877 0.174
Er 4.099 -4.161 3.403
Er 3.368 -0.015 3.341
Dy 4.485 -0.198 -5.212
Er -0.558 -7.988 -1.106
Er 6.221 -2.372 1.171
Er 2.397 -7.527 -4.628
Dy -2.405 -6.332 1.197
Y 6.368 -0.599 4.273
Er 0.853 -4.575 7.884
Y 2.127 -2.651 5.415
Er 8.794 2.496 0.496
Er 3.892 -1.537 -2.235
Dy 3.145 2.363 5.643
Er 7.229 0.833 -3.520
Dy 2.914 -2.324 0.908
Er 0.393 -4.551 1.279
Er 0.842 -2.645 -1.626
Er 2.435 -6.891 6.142
Er 0.000 0.000 0.000
Er 5.493 -6.891 -3.672
```

=====

## Zr5Zn2Sb (PBE)

Data for a relaxed structure of Zr5Zn2Sb.

Volume, Å³ per cell: 335
Energy relative to the elements, uncorrected, meV/atom: -345
SG: No. 140

Structure (extended XYZ):
```
16
Lattice="6.573 0.000 -3.103 -1.465 6.408 -3.103 -0.168 -0.211 8.158" Properties=species:S:1:pos:R:3 pbc="T T T"
Zn 3.961 0.847 -2.371
Sb 3.747 4.700 -0.575
Zr 0.000 0.000 0.000
Zr 3.817 6.309 -3.113
Zr 1.123 -0.112 5.065
Zn 0.330 2.357 -1.551
Zr 2.195 4.274 1.963
Zn 1.147 5.561 -3.834
Zr 0.801 5.127 -0.990
Zr -0.822 3.092 4.086
Sb 1.193 1.497 2.527
Zr 5.762 3.105 -2.134
Zn 4.779 4.050 -4.654
Zr 4.139 1.070 2.942
Zr 2.554 3.204 -3.103
Zr 2.746 1.923 -0.011
```

=====

## PrDyZrSc (PBE)

Data for a relaxed structure of PrDyZrSc.

Volume, Å³ per cell: 112
ΔH_f (0 K), eV/atom: 0.20
SG: No. 216

Structure (extended XYZ):
```
4
Lattice="5.412 0.000 0.000 2.706 4.687 0.000 2.706 1.562 4.419" Properties=species:S:1:pos:R:3 pbc="T T T"
Zr 8.119 4.687 3.314
Sc 0.000 0.000 0.000
Pr 2.706 1.562 1.105
Dy 5.412 3.125 2.210
```

=====

## LaIn2Au2 (PBE)

Data for a relaxed structure of LaIn2Au2.

Volume, Å³ per cell: 123
ΔH_f (0 K), eV/atom: -0.59
SG: No. 139

Structure (extended XYZ):
```
5
Lattice="-3.729 0.695 -2.241 -2.326 -0.544 3.702 -2.586 6.274 1.919" Properties=species:S:1:pos:R:3 pbc="T T T"
Au -5.709 5.022 2.395
In -4.672 3.523 0.204
Au -2.933 1.403 0.985
In -3.970 2.903 3.176
La 0.000 0.000 0.000
```

=====

## Ce2YTl2Zn2 (PBE)

Data for a relaxed structure of Ce2YTl2Zn2.

Volume, Å³ per cell: 169
ΔH_f (0 K), eV/atom: -0.16
SG: No. 166

Structure (extended XYZ):
```
7
Lattice="-2.741 3.212 1.809 -4.466 0.079 -1.074 -4.223 -4.489 7.407" Properties=species:S:1:pos:R:3 pbc="T T T"
Zn -6.152 -1.939 5.788
Tl -8.684 -1.241 6.544
Ce -3.438 -2.080 4.317
Ce -7.993 0.881 3.824
Tl -2.746 0.042 1.597
Zn -5.279 0.740 2.353
Y 0.000 0.000 0.000
```

=====

## TlCdBi2 (PBE)

Data for a relaxed structure of TlCdBi2.

Volume, Å³ per cell: 122
ΔH_f (0 K), eV/atom: 0.05
SG: No. 123

Structure (extended XYZ):
```
4
Lattice="-2.498 -1.156 3.026 1.323 -3.852 -0.379 5.276 1.333 4.864" Properties=species:S:1:pos:R:3 pbc="T T T"
Bi 1.129 0.285 1.041
Tl 2.051 -1.837 3.755
Bi 4.147 1.048 3.823
Cd -0.587 -2.504 1.324
```

=====

## TaPd2Au2 (PBE)

Data for a relaxed structure of TaPd2Au2.

Volume, Å³ per cell: 83
ΔH_f (0 K), eV/atom: -0.31
SG: No. 12

Structure (extended XYZ):
```
5
Lattice="-1.457 0.609 -3.635 2.748 -2.158 -3.623 -3.230 -3.419 -1.438" Properties=species:S:1:pos:R:3 pbc="T T T"
Ta 0.000 0.000 0.000
Au 0.141 -1.615 -4.648
Pd -0.872 -3.349 -6.692
Pd -1.066 -1.620 -2.004
Au -2.080 -3.354 -4.049
```